The following is a DFT calculation (PBEsol) of crystalline Ag5Se3 at its relaxed geometry.

Cell and atoms, written as CIF:
```
data_Ag5Se3
_symmetry_space_group_name_H-M 'P 63/m c m'
_symmetry_Int_Tables_number 193
_symmetry_space_group_name_Hall '-P 6c 2'
_cell_length_a 7.9670
_cell_length_b 7.9670
_cell_length_c 5.5866
_cell_angle_alpha 90.00
_cell_angle_beta 90.00
_cell_angle_gamma 120.00
loop_
_atom_site_label
_atom_site_type_symbol
_atom_site_fract_x
_atom_site_fract_y
_atom_site_fract_z
Ag1 Ag 0.0000 0.2091 0.2500
Ag2 Ag 0.3333 0.6667 0.0000
Se1 Se 0.0000 0.3745 0.7500
```

Output
Its size of the total moment is 0.00 μB per formula unit. For the formation energy from raw total energies, the calculation gives 0.40 eV/f.u. For the energy above the most stable polymorph in this dataset, the calculation gives 27 meV/atom. As for the total energy: -3.46 eV per atom. The density of states at the Fermi level is 0.497 states/eV per atom.